# 1
{"formula": "LaAu3I", "functional": "PBE-GGA", "state": "relaxed", "dos_at_fermi_per_ev_cell": 5.17, "relative_energy_ev_per_atom": 0.0714, "spacegroup": "No. 221", "final_energy_ev_per_atom": -2.880, "cell": [[5.3310, 0.0000, 0.0000], [0.0000, 5.3310, 0.0000], [0.0000, 0.0000, 5.3310]], "species": ["La", "Au", "Au", "Au", "I"], "fractional_positions": [[0.0000, 0.0000, 0.0000], [0.0000, 0.5000, 0.5000], [0.5000, 0.0000, 0.5000], [0.5000, 0.5000, 0.0000], [0.5000, 0.5000, 0.5000]]}

# 2
{"formula": "La7AuI12", "functional": "PBE-GGA", "state": "relaxed", "dos_at_fermi_per_ev_cell": 10.41, "spacegroup": "No. 148", "final_energy_ev_per_atom": -4.160, "cell": [[8.2482, 4.7621, 3.6186], [-8.2482, 4.7621, 3.6186], [0.0000, -9.5242, 3.6186]], "species": ["La", "La", "La", "La", "La", "La", "La", "Au", "I", "I", "I", "I", "I", "I", "I", "I", "I", "I", "I", "I"], "fractional_positions": [[0.0000, 0.0000, 0.0000], [0.1738, 0.4564, 0.3827], [0.3827, 0.1738, 0.4564], [0.4564, 0.3827, 0.1738], [0.5436, 0.6173, 0.8262], [0.6173, 0.8262, 0.5436], [0.8262, 0.5436, 0.6173], [0.5000, 0.5000, 0.5000], [0.0176, 0.1021, 0.3423], [0.1021, 0.3423, 0.0176], [0.1880, 0.5751, 0.7254], [0.2746, 0.8120, 0.4249], [0.3423, 0.0176, 0.1021], [0.4249, 0.2746, 0.8120], [0.5751, 0.7254, 0.1880], [0.6577, 0.9824, 0.8979], [0.7254, 0.1880, 0.5751], [0.8120, 0.4249, 0.2746], [0.8979, 0.6577, 0.9824], [0.9824, 0.8979, 0.6577]]}

# 3
{"formula": "LaAu2I", "functional": "PBE-GGA", "state": "relaxed", "dos_at_fermi_per_ev_cell": 0.75, "relative_energy_ev_per_atom": 0.0180, "spacegroup": "No. 225", "final_energy_ev_per_atom": -3.812, "cell": [[0.0000, 3.7634, 3.7634], [3.7634, 0.0000, 3.7634], [3.7634, 3.7634, 0.0000]], "species": ["La", "Au", "Au", "I"], "fractional_positions": [[0.0000, 0.0000, 0.0000], [0.2500, 0.2500, 0.2500], [0.7500, 0.7500, 0.7500], [0.5000, 0.5000, 0.5000]]}

# 4
{"formula": "LaAuI4", "functional": "PBE-GGA", "state": "relaxed", "relative_energy_ev_per_atom": 0.0938, "spacegroup": "No. 82", "final_energy_ev_per_atom": -3.268, "cell": [[-3.7174, 3.7174, 4.2568], [3.7174, -3.7174, 4.2568], [3.7174, 3.7174, -4.2568]], "species": ["La", "Au", "I", "I", "I", "I"], "fractional_positions": [[0.0000, 0.0000, 0.0000], [0.7500, 0.2500, 0.5000], [0.1399, 0.5879, 0.0063], [0.4121, 0.4184, 0.5520], [0.5816, 0.1336, 0.9937], [0.8664, 0.8601, 0.4480]]}

# 5
{"formula": "La12Au3I13", "functional": "PBE-GGA", "state": "relaxed", "dos_at_fermi_per_ev_cell": 24.38, "spacegroup": "No. 155", "final_energy_ev_per_atom": -4.355, "cell": [[9.0797, 5.2422, 3.6891], [-9.0797, 5.2422, 3.6891], [0.0000, -10.4843, 3.6891]], "species": ["La", "La", "La", "La", "La", "La", "La", "La", "La", "La", "La", "La", "Au", "Au", "Au", "I", "I", "I", "I", "I", "I", "I", "I", "I", "I", "I", "I", "I"], "fractional_positions": [[0.0000, 0.2632, 0.7368], [0.0000, 0.4830, 0.5170], [0.2593, 0.2692, 0.5142], [0.2632, 0.7368, 0.0000], [0.2692, 0.5142, 0.2593], [0.4830, 0.5170, 0.0000], [0.4858, 0.7308, 0.7407], [0.5142, 0.2593, 0.2692], [0.5170, 0.0000, 0.4830], [0.7308, 0.7407, 0.4858], [0.7368, 0.0000, 0.2632], [0.7407, 0.4858, 0.7308], [0.2501, 0.5000, 0.7499], [0.5000, 0.7499, 0.2501], [0.7499, 0.2501, 0.5000], [0.0062, 0.7660, 0.7580], [0.0097, 0.9903, 0.5000], [0.2340, 0.9938, 0.2420], [0.2404, 0.7596, 0.5000], [0.2420, 0.2340, 0.9938], [0.5000, 0.0097, 0.9903], [0.5000, 0.2404, 0.7596], [0.5000, 0.5000, 0.5000], [0.7580, 0.0062, 0.7660], [0.7596, 0.5000, 0.2404], [0.7660, 0.7580, 0.0062], [0.9903, 0.5000, 0.0097], [0.9938, 0.2420, 0.2340]]}

# 6
{"formula": "La2Au2I", "functional": "PBE-GGA", "state": "relaxed", "dos_at_fermi_per_ev_cell": 6.89, "relative_energy_ev_per_atom": 0.0000, "spacegroup": "No. 127", "final_energy_ev_per_atom": -4.469, "cell": [[8.6217, 0.0000, 0.0000], [0.0000, 8.6217, 0.0000], [0.0000, 0.0000, 3.9899]], "species": ["La", "La", "La", "La", "Au", "Au", "Au", "Au", "I", "I"], "fractional_positions": [[0.1634, 0.3366, 0.0000], [0.3366, 0.8366, 0.0000], [0.6634, 0.1634, 0.0000], [0.8366, 0.6634, 0.0000], [0.1266, 0.6266, 0.5000], [0.3734, 0.1266, 0.5000], [0.6266, 0.8734, 0.5000], [0.8734, 0.3734, 0.5000], [0.0000, 0.0000, 0.0000], [0.5000, 0.5000, 0.0000]]}

# 7
{"formula": "La2AuI2", "functional": "PBE-GGA", "state": "relaxed", "dos_at_fermi_per_ev_cell": 10.17, "relative_energy_ev_per_atom": 0.2718, "spacegroup": "No. 127", "final_energy_ev_per_atom": -4.121, "cell": [[8.2355, 0.0000, 0.0000], [0.0000, 8.2355, 0.0000], [0.0000, 0.0000, 4.8489]], "species": ["La", "La", "La", "La", "Au", "Au", "I", "I", "I", "I"], "fractional_positions": [[0.1604, 0.3396, 0.0000], [0.3396, 0.8396, 0.0000], [0.6604, 0.1604, 0.0000], [0.8396, 0.6604, 0.0000], [0.0000, 0.0000, 0.0000], [0.5000, 0.5000, 0.0000], [0.1503, 0.6503, 0.5000], [0.3497, 0.1503, 0.5000], [0.6503, 0.8497, 0.5000], [0.8497, 0.3497, 0.5000]]}

# 8
{"formula": "La4AuI3", "functional": "PBE-GGA", "state": "relaxed", "dos_at_fermi_per_ev_cell": 7.29, "spacegroup": "No. 65", "final_energy_ev_per_atom": -4.401, "cell": [[4.6821, -6.4774, 0.0000], [4.6821, 6.4774, 0.0000], [0.0000, 0.0000, 4.4523]], "species": ["La", "La", "La", "La", "Au", "I", "I", "I"], "fractional_positions": [[0.2196, 0.2196, 0.5000], [0.2396, 0.7604, 0.0000], [0.7604, 0.2396, 0.0000], [0.7804, 0.7804, 0.5000], [0.0000, 0.0000, 0.0000], [0.0000, 0.5000, 0.5000], [0.5000, 0.0000, 0.5000], [0.5000, 0.5000, 0.0000]]}

# 9
{"formula": "La3AuI2", "functional": "PBE-GGA", "state": "relaxed", "dos_at_fermi_per_ev_cell": 11.19, "spacegroup": "No. 12", "final_energy_ev_per_atom": -4.478, "cell": [[3.9634, -6.8173, 0.0000], [3.9634, 6.8173, 0.0000], [-2.6067, 0.0000, 7.5573]], "species": ["La", "La", "La", "La", "La", "La", "Au", "Au", "I", "I", "I", "I"], "fractional_positions": [[0.0682, 0.4256, 0.7762], [0.2113, 0.2113, 0.2102], [0.4256, 0.0682, 0.7762], [0.5744, 0.9318, 0.2238], [0.7887, 0.7887, 0.7898], [0.9318, 0.5744, 0.2238], [0.1692, 0.8308, 0.0000], [0.8308, 0.1692, 0.0000], [0.0000, 0.0000, 0.5000], [0.3460, 0.6540, 0.5000], [0.5000, 0.5000, 0.0000], [0.6540, 0.3460, 0.5000]]}

# 10
{"formula": "La2Au2I", "functional": "PBE-GGA", "state": "relaxed", "dos_at_fermi_per_ev_cell": 5.83, "relative_energy_ev_per_atom": 0.2209, "spacegroup": "No. 139", "final_energy_ev_per_atom": -4.249, "cell": [[-2.7837, 2.7837, 5.1670], [2.7837, -2.7837, 5.1670], [2.7837, 2.7837, -5.1670]], "species": ["La", "La", "Au", "Au", "I"], "fractional_positions": [[0.2500, 0.7500, 0.5000], [0.7500, 0.2500, 0.5000], [0.1299, 0.1299, 0.0000], [0.8701, 0.8701, 0.0000], [0.5000, 0.5000, 0.0000]]}

# 11
{"formula": "LaAu3I", "functional": "PBE-GGA", "state": "relaxed", "dos_at_fermi_per_ev_cell": 7.79, "relative_energy_ev_per_atom": 0.0000, "spacegroup": "No. 221", "final_energy_ev_per_atom": -2.951, "cell": [[5.7238, 0.0000, 0.0000], [0.0000, 5.7238, 0.0000], [0.0000, 0.0000, 5.7238]], "species": ["La", "Au", "Au", "Au", "I"], "fractional_positions": [[0.0000, 0.0000, 0.0000], [0.0000, 0.0000, 0.5000], [0.0000, 0.5000, 0.0000], [0.5000, 0.0000, 0.0000], [0.5000, 0.5000, 0.5000]]}

# 12
{"formula": "LaAu2I", "functional": "PBE-GGA", "state": "relaxed", "dos_at_fermi_per_ev_cell": 0.06, "relative_energy_ev_per_atom": 0.0000, "spacegroup": "No. 122", "final_energy_ev_per_atom": -3.830, "cell": [[-4.3255, 4.3255, 3.1238], [4.3255, -4.3255, 3.1238], [4.3255, 4.3255, -3.1238]], "species": ["La", "La", "Au", "Au", "Au", "Au", "I", "I"], "fractional_positions": [[0.0000, 0.0000, 0.0000], [0.7500, 0.2500, 0.5000], [0.1093, 0.6250, 0.9843], [0.3750, 0.3593, 0.4843], [0.6407, 0.1250, 0.0157], [0.8750, 0.8907, 0.5157], [0.2500, 0.7500, 0.5000], [0.5000, 0.5000, 0.0000]]}

> Number 3 is which compound?

LaAu2I